A plane-wave DFT calculation with meta-GGA SCAN was carried out for a crystal of YB5O9 relaxed with PBEsol.

Results
The uncorrected formation energy comes out at -43.15 eV per formula unit. Its total energy is -10.948 eV per atom.

abc: 6.320 11.321 7.991
angles: 90.00 105.44 90.00
Atoms (fractional coordinates):
Y  0.247  0.180  0.358
Y  0.247  0.320  0.858
Y  0.753  0.680  0.142
Y  0.753  0.820  0.642
B  0.130  0.027  0.742
B  0.130  0.473  0.242
B  0.202  0.624  0.915
B  0.202  0.876  0.415
B  0.236  0.747  0.175
B  0.236  0.753  0.675
B  0.288  0.058  0.050
B  0.288  0.442  0.550
B  0.499  0.096  0.719
B  0.499  0.404  0.219
B  0.501  0.596  0.781
B  0.501  0.904  0.281
B  0.712  0.558  0.450
B  0.712  0.942  0.950
B  0.764  0.247  0.325
B  0.764  0.253  0.825
B  0.798  0.124  0.585
B  0.798  0.376  0.085
B  0.870  0.527  0.758
B  0.870  0.973  0.258
O  0.090  0.513  0.841
O  0.090  0.987  0.341
O  0.114  0.718  0.784
O  0.114  0.782  0.284
O  0.145  0.653  0.074
O  0.145  0.847  0.574
O  0.210  0.516  0.409
O  0.210  0.984  0.909
O  0.233  0.175  0.052
O  0.233  0.325  0.552
O  0.258  0.098  0.669
O  0.258  0.402  0.169
O  0.415  0.017  0.206
O  0.415  0.483  0.706
O  0.429  0.701  0.666
O  0.429  0.799  0.166
O  0.438  0.615  0.942
O  0.438  0.885  0.442
O  0.562  0.115  0.558
O  0.562  0.385  0.058
O  0.571  0.201  0.834
O  0.571  0.299  0.334
O  0.585  0.517  0.294
O  0.585  0.983  0.794
O  0.742  0.598  0.831
O  0.742  0.902  0.331
O  0.767  0.675  0.448
O  0.767  0.825  0.948
O  0.790  0.016  0.091
O  0.790  0.484  0.591
O  0.855  0.153  0.426
O  0.855  0.347  0.926
O  0.886  0.218  0.716
O  0.886  0.282  0.216
O  0.910  0.013  0.659
O  0.910  0.487  0.159

=====

A plane-wave DFT calculation with meta-GGA SCAN was carried out for a crystal of Zn4B2O7 relaxed with PBEsol.

Results
The uncorrected formation energy comes out at -24.82 eV per formula unit. Its total energy is -10.566 eV per atom.

abc: 8.195 8.195 9.801
angles: 113.07 113.07 60.20
Atoms (fractional coordinates):
Zn  0.019  0.694  0.330
Zn  0.083  0.083  0.339
Zn  0.157  0.592  0.840
Zn  0.306  0.981  0.670
Zn  0.380  0.455  0.142
Zn  0.408  0.843  0.160
Zn  0.545  0.620  0.858
Zn  0.582  0.208  0.834
Zn  0.675  0.056  0.297
Zn  0.792  0.418  0.166
Zn  0.917  0.917  0.661
Zn  0.944  0.325  0.703
B  0.395  0.605  0.500
B  0.481  0.040  0.997
B  0.497  0.024  0.496
B  0.960  0.519  0.003
B  0.976  0.503  0.504
B  0.989  0.011  0.000
O  0.012  0.869  0.866
O  0.047  0.062  0.671
O  0.128  0.512  0.996
O  0.131  0.988  0.134
O  0.322  0.540  0.361
O  0.332  0.017  0.497
O  0.415  0.469  0.821
O  0.459  0.071  0.862
O  0.460  0.678  0.639
O  0.488  0.872  0.004
O  0.503  0.179  0.133
O  0.516  0.003  0.356
O  0.531  0.585  0.179
O  0.634  0.053  0.629
O  0.820  0.180  0.000
O  0.821  0.497  0.867
O  0.929  0.541  0.138
O  0.938  0.953  0.329
O  0.947  0.366  0.371
O  0.983  0.668  0.503
O  0.997  0.484  0.644

=====

A plane-wave DFT calculation with meta-GGA SCAN was carried out for a crystal of Zn2BO4 relaxed with PBEsol.

Results
The uncorrected formation energy comes out at -12.29 eV per formula unit. Its total energy is -10.240 eV per atom.

abc: 9.343 3.148 9.247
angles: 90.00 90.00 90.00
Atoms (fractional coordinates):
Zn  0.106  0.250  0.194
Zn  0.121  0.250  0.569
Zn  0.379  0.750  0.069
Zn  0.394  0.750  0.694
Zn  0.606  0.250  0.306
Zn  0.621  0.250  0.931
Zn  0.879  0.750  0.431
Zn  0.894  0.750  0.806
B  0.161  0.250  0.878
B  0.339  0.750  0.378
B  0.661  0.250  0.622
B  0.839  0.750  0.122
O  0.013  0.250  0.384
O  0.015  0.250  0.872
O  0.230  0.250  0.010
O  0.241  0.250  0.751
O  0.259  0.750  0.251
O  0.270  0.750  0.510
O  0.485  0.750  0.372
O  0.487  0.750  0.884
O  0.513  0.250  0.116
O  0.515  0.250  0.628
O  0.730  0.250  0.490
O  0.741  0.250  0.749
O  0.759  0.750  0.249
O  0.770  0.750  0.990
O  0.985  0.750  0.128
O  0.987  0.750  0.616

=====

What did the second record say?
A plane-wave DFT calculation with meta-GGA SCAN was carried out for a crystal of Zn4B2O7 relaxed with PBEsol.

Results
The uncorrected formation energy comes out at -24.82 eV per formula unit. Its total energy is -10.566 eV per atom.

abc: 8.195 8.195 9.801
angles: 113.07 113.07 60.20
Atoms (fractional coordinates):
Zn  0.019  0.694  0.330
Zn  0.083  0.083  0.339
Zn  0.157  0.592  0.840
Zn  0.306  0.981  0.670
Zn  0.380  0.455  0.142
Zn  0.408  0.843  0.160
Zn  0.545  0.620  0.858
Zn  0.582  0.208  0.834
Zn  0.675  0.056  0.297
Zn  0.792  0.418  0.166
Zn  0.917  0.917  0.661
Zn  0.944  0.325  0.703
B  0.395  0.605  0.500
B  0.481  0.040  0.997
B  0.497  0.024  0.496
B  0.960  0.519  0.003
B  0.976  0.503  0.504
B  0.989  0.011  0.000
O  0.012  0.869  0.866
O  0.047  0.062  0.671
O  0.128  0.512  0.996
O  0.131  0.988  0.134
O  0.322  0.540  0.361
O  0.332  0.017  0.497
O  0.415  0.469  0.821
O  0.459  0.071  0.862
O  0.460  0.678  0.639
O  0.488  0.872  0.004
O  0.503  0.179  0.133
O  0.516  0.003  0.356
O  0.531  0.585  0.179
O  0.634  0.053  0.629
O  0.820  0.180  0.000
O  0.821  0.497  0.867
O  0.929  0.541  0.138
O  0.938  0.953  0.329
O  0.947  0.366  0.371
O  0.983  0.668  0.503
O  0.997  0.484  0.644

=====

> total energy of number 3 (Zn2BO4)?

-10.240 eV per atom